DFT (PBE-GGA) results for a relaxed GeH2Se crystal.

a = 3.662 Å, b = 3.662 Å, c = 8.043 Å
α = 93.88°, β = 76.59°, γ = 59.94°
Element x y z (fractional)
Se  0.520  0.320  0.280
Ge  0.335  0.885  0.091
H  0.849  0.207  0.722
H  0.995  0.014  0.646

Calculated values
excess energy over the best structure of this formula in the dataset = 0.0 kJ/mol of atoms
SG = P1, No. 1
Fermi-level density of states = 0.000 states/eV/atom
crystal system = triclinic


DFT (PBE-GGA) results for a relaxed ZrSc2Be crystal.

a = 5.858 Å, b = 5.858 Å, c = 4.747 Å
α = 66.09°, β = 66.09°, γ = 32.67°
Element x y z (fractional)
Sc  0.957  0.957  0.043
Sc  0.751  0.751  0.749
Be  0.251  0.251  0.249
Zr  0.541  0.541  0.459

Calculated values
SG = Imm2, No. 44
Fermi-level density of states = 0.980 states/eV/atom
crystal system = orthorhombic
energy of formation = 10 meV/atom


DFT (PBE-GGA) results for a relaxed CaPmTh2Pt4 crystal.

a = 5.890 Å, b = 5.890 Å, c = 7.223 Å
α = 115.88°, β = 115.88°, γ = 85.97°
Element x y z (fractional)
Pt  0.660  0.660  0.490
Pt  0.170  0.170  0.510
Pt  0.008  0.409  0.000
Pt  0.409  0.008  0.000
Th  0.666  0.166  0.500
Th  0.166  0.666  0.500
Pm  0.922  0.922  0.000
Ca  0.497  0.497  0.000

Calculated values
SG = Fmm2, No. 42
Fermi-level density of states = 0.467 states/eV/atom
crystal system = orthorhombic
energy of formation = -1078 meV/atom


DFT (PBE-GGA) results for a relaxed Mg2InHg6 crystal.

a = 6.083 Å, b = 8.676 Å, c = 8.676 Å
α = 76.34°, β = 88.25°, γ = 88.25°
Element x y z (fractional)
Mg  0.405  0.539  0.796
Mg  0.905  0.796  0.539
Mg  0.595  0.461  0.204
Mg  0.095  0.204  0.461
Hg  0.153  0.354  0.107
Hg  0.314  0.745  0.023
Hg  0.347  0.893  0.646
Hg  0.511  0.322  0.577
Hg  0.653  0.107  0.354
Hg  0.186  0.977  0.255
Hg  0.011  0.577  0.322
Hg  0.989  0.423  0.678
Hg  0.847  0.646  0.893
Hg  0.814  0.023  0.745
Hg  0.489  0.678  0.423
Hg  0.686  0.255  0.977
In  0.250  0.116  0.884
In  0.750  0.884  0.116

Calculated values
excess energy over the best structure of this formula in the dataset = 0.0 kJ/mol of atoms
SG = C2/c, No. 15
Fermi-level density of states = 0.243 states/eV/atom
crystal system = monoclinic
energy of formation = -73 meV/atom


DFT (PBE-GGA) results for a relaxed NaCaSc2Ag crystal.

a = 5.317 Å, b = 5.536 Å, c = 5.317 Å
α = 90.00°, β = 90.00°, γ = 90.00°
Element x y z (fractional)
Sc  0.500  0.000  0.000
Sc  0.000  0.000  0.500
Ag  0.000  0.000  0.000
Ca  0.500  0.500  0.500
Na  0.000  0.500  0.000

Calculated values
SG = P4/mmm, No. 123
Fermi-level density of states = 2.093 states/eV/atom
crystal system = tetragonal
energy of formation = 334 meV/atom


DFT (PBE-GGA) results for a relaxed LiPd2Au crystal.

a = 5.872 Å, b = 5.872 Å, c = 5.872 Å
α = 54.49°, β = 152.95°, γ = 133.65°
Element x y z (fractional)
Pd  0.000  0.760  0.760
Pd  0.000  0.240  0.240
Li  0.000  0.000  0.000
Au  0.000  0.500  0.500

Calculated values
excess energy over the best structure of this formula in the dataset = 28.2 kJ/mol of atoms
SG = Immm, No. 71
Fermi-level density of states = 0.632 states/eV/atom
crystal system = orthorhombic
energy of formation = -63 meV/atom